No. 1
## Tm2PaSi6 (PBE-GGA)

Data for a relaxed Tm2PaSi6 crystal.

Density of states at the Fermi level: 6.2 states/eV/f.u.
Total magnetic moment: 0.00 μB/f.u.
Uncorrected energy: -6.181 eV per atom
Space group: P6/mmm
Crystal system: hexagonal

Lattice parameters (Å, degrees): 3.8849 7.0290 7.0290 120.00 90.00 90.00
Sites, in units of the cell vectors:
Tm (0.0000, 0.3333, 0.6667)
Tm (0.0000, 0.6667, 0.3333)
Pa (0.0000, 0.0000, 0.0000)
Si (0.5000, 0.3334, 0.3334)
Si (0.5000, 0.6666, 0.6666)
Si (0.5000, 0.0000, 0.6666)
Si (0.5000, 0.6666, 0.0000)
Si (0.5000, 0.3334, 0.0000)
Si (0.5000, 0.0000, 0.3334)

No. 2
## Pr3Y2Tm4 (PBE-GGA)

Data for a relaxed Pr3Y2Tm4 crystal.

Density of states at the Fermi level: 14.1 states/eV/f.u.
Total magnetic moment: 0.00 μB/f.u.
E_form: 0.203 eV/atom
Space group: C2/m
Polymorph energy (0 for the lowest one): 100 meV/atom
Crystal system: monoclinic

Lattice parameters (Å, degrees): 5.1515 6.0038 11.6888 69.74 77.27 64.59
Sites, in units of the cell vectors:
Pr (0.0000, 0.0000, 0.0000)
Pr (0.5548, 0.6425, 0.2478)
Pr (0.4452, 0.3575, 0.7522)
Y (0.8336, 0.7539, 0.5788)
Y (0.1664, 0.2461, 0.4212)
Tm (0.8546, 0.0114, 0.2795)
Tm (0.1454, 0.9886, 0.7205)
Tm (0.7199, 0.6625, 0.8978)
Tm (0.2801, 0.3375, 0.1022)

No. 3
## CaAl2H8 (PBE-GGA)

Data for a relaxed CaAl2H8 crystal.

Density of states at the Fermi level: 0.0 states/eV/f.u.
Total magnetic moment: 0.00 μB/f.u.
Space group: P-3
Polymorph energy (0 for the lowest one): 5 meV/atom
Crystal system: trigonal

Lattice parameters (Å, degrees): 5.8694 15.4403 15.4403 120.00 90.00 90.00
Sites, in units of the cell vectors:
Ca (0.4879, 0.6667, 0.3333)
Ca (0.5121, 0.3333, 0.6667)
Ca (0.0000, 0.0000, 0.0000)
Ca (0.7493, 0.6650, 0.9985)
Ca (0.2507, 0.3350, 0.0015)
Ca (0.7493, 0.3335, 0.3350)
Ca (0.2507, 0.6665, 0.6650)
Ca (0.7493, 0.0015, 0.6665)
Ca (0.2507, 0.9985, 0.3335)
Al (0.7491, 0.8997, 0.4011)
Al (0.2509, 0.1003, 0.5989)
Al (0.7491, 0.5014, 0.1003)
Al (0.2509, 0.4986, 0.8997)
Al (0.7491, 0.5989, 0.4986)
Al (0.2509, 0.4011, 0.5014)
Al (0.7359, 0.9326, 0.1701)
Al (0.2641, 0.0674, 0.8299)
Al (0.7359, 0.2375, 0.0674)
Al (0.2641, 0.7625, 0.9326)
Al (0.7359, 0.8299, 0.7625)
Al (0.2641, 0.1701, 0.2375)
Al (0.7707, 0.5679, 0.7323)
Al (0.2293, 0.4321, 0.2677)
Al (0.7707, 0.1644, 0.4321)
Al (0.2293, 0.8356, 0.5679)
Al (0.7707, 0.2677, 0.8356)
Al (0.2293, 0.7323, 0.1644)
H (0.7785, 0.9406, 0.0700)
H (0.2215, 0.0594, 0.9300)
H (0.7785, 0.1294, 0.0594)
H (0.2215, 0.8706, 0.9406)
H (0.7785, 0.9300, 0.8706)
H (0.2215, 0.0700, 0.1294)
H (0.7277, 0.9911, 0.5146)
H (0.2723, 0.0089, 0.4854)
H (0.7277, 0.5234, 0.0089)
H (0.2723, 0.4766, 0.9911)
H (0.7277, 0.4854, 0.4766)
H (0.2723, 0.5146, 0.5234)
H (0.9982, 0.5579, 0.6681)
H (0.0018, 0.4421, 0.3319)
H (0.9982, 0.1103, 0.4421)
H (0.0018, 0.8897, 0.5579)
H (0.9982, 0.3319, 0.8897)
H (0.0018, 0.6681, 0.1103)
H (0.9900, 0.8979, 0.3493)
H (0.0100, 0.1021, 0.6507)
H (0.9900, 0.4514, 0.1021)
H (0.0100, 0.5486, 0.8979)
H (0.9900, 0.6507, 0.5486)
H (0.0100, 0.3493, 0.4514)
H (0.7468, 0.4594, 0.7257)
H (0.2532, 0.5406, 0.2743)
H (0.7468, 0.2663, 0.5406)
H (0.2532, 0.7337, 0.4594)
H (0.7468, 0.2743, 0.7337)
H (0.2532, 0.7257, 0.2663)
H (0.7484, 0.8169, 0.1420)
H (0.2516, 0.1831, 0.8580)
H (0.7484, 0.3251, 0.1831)
H (0.2516, 0.6749, 0.8169)
H (0.7484, 0.8580, 0.6749)
H (0.2516, 0.1420, 0.3251)
H (0.9324, 0.9998, 0.2502)
H (0.0676, 0.0002, 0.7498)
H (0.9324, 0.2503, 0.0002)
H (0.0676, 0.7497, 0.9998)
H (0.9324, 0.7498, 0.7497)
H (0.0676, 0.2502, 0.2503)
H (0.5434, 0.8999, 0.3296)
H (0.4566, 0.1001, 0.6704)
H (0.5434, 0.4298, 0.1001)
H (0.4566, 0.5702, 0.8999)
H (0.5434, 0.6704, 0.5702)
H (0.4566, 0.3296, 0.4298)
H (0.5510, 0.5781, 0.6740)
H (0.4490, 0.4219, 0.3260)
H (0.5510, 0.0959, 0.4219)
H (0.4490, 0.9041, 0.5781)
H (0.5510, 0.3260, 0.9041)
H (0.4490, 0.6740, 0.0959)
H (0.4913, 0.9855, 0.2128)
H (0.5087, 0.0145, 0.7872)
H (0.4913, 0.2272, 0.0145)
H (0.5087, 0.7728, 0.9855)
H (0.4913, 0.7872, 0.7728)
H (0.5087, 0.2128, 0.2272)
H (0.7260, 0.7923, 0.3968)
H (0.2740, 0.2077, 0.6032)
H (0.7260, 0.6045, 0.2077)
H (0.2740, 0.3955, 0.7923)
H (0.7260, 0.6032, 0.3955)
H (0.2740, 0.3968, 0.6045)
H (0.7770, 0.6562, 0.8476)
H (0.2230, 0.3438, 0.1524)
H (0.7770, 0.1914, 0.3438)
H (0.2230, 0.8086, 0.6562)
H (0.7770, 0.1524, 0.8086)
H (0.2230, 0.8476, 0.1914)

No. 4
## Dy4Ho8Zr (PBE-GGA)

Data for a relaxed Dy4Ho8Zr crystal.

Density of states at the Fermi level: 23.0 states/eV/f.u.
Total magnetic moment: 0.96 μB/f.u.
E_form: 0.535 eV/atom
Space group: R-3m
Crystal system: trigonal

Lattice parameters (Å, degrees): 7.6280 7.6280 7.6280 90.16 90.16 90.16
Last column: magnetic moment on the atom in μB.
Sites, in units of the cell vectors:
Dy (0.5000, 0.0000, 0.5000)  0.07
Dy (0.0000, 0.5000, 0.5000)  0.07
Dy (0.5000, 0.5000, 0.0000)  0.07
Dy (0.0000, 0.0000, 0.0000)  -0.03
Ho (0.2443, 0.7539, 0.2443)  0.04
Ho (0.7557, 0.7557, 0.2461)  0.04
Ho (0.7557, 0.2461, 0.7557)  0.04
Ho (0.2461, 0.7557, 0.7557)  0.04
Ho (0.7554, 0.7554, 0.7554)  0.04
Ho (0.2446, 0.2446, 0.2446)  0.04
Ho (0.7539, 0.2443, 0.2443)  0.04
Ho (0.2443, 0.2443, 0.7539)  0.04
Zr (0.5000, 0.5000, 0.5000)  0.20

No. 5
## YHgRh2W (PBE-GGA)

Data for a relaxed YHgRh2W crystal.

Density of states at the Fermi level: 6.8 states/eV/f.u.
Total magnetic moment: 2.44 μB/f.u.
E_form: 1.820 eV/atom
Space group: P4/mmm
Crystal system: tetragonal

Lattice parameters (Å, degrees): 4.8550 5.1458 4.8550 90.00 90.00 90.00
Last column: magnetic moment on the atom in μB.
Sites, in units of the cell vectors:
Y (0.0000, 0.0000, 0.0000)  -0.02
Rh (0.0000, 0.0000, 0.5000)  0.26
Rh (0.5000, 0.0000, 0.0000)  0.19
Hg (0.5000, 0.5000, 0.5000)  -0.01
W (0.0000, 0.5000, 0.0000)  1.60

No. 6
## RbHfBPt2 (PBE-GGA)

Data for a relaxed RbHfBPt2 crystal.

Density of states at the Fermi level: 6.1 states/eV/f.u.
Total magnetic moment: 0.00 μB/f.u.
E_form: 2.330 eV/atom
Space group: P4/mmm
Crystal system: tetragonal

Lattice parameters (Å, degrees): 5.0708 4.3563 5.0708 90.00 90.00 90.00
Sites, in units of the cell vectors:
B (0.0000, 0.5000, 0.0000)
Hf (0.5000, 0.5000, 0.5000)
Rb (0.0000, 0.0000, 0.0000)
Pt (0.0000, 0.0000, 0.5000)
Pt (0.5000, 0.0000, 0.0000)

No. 7
## TiBeSn2B (PBE-GGA)

Data for a relaxed TiBeSn2B crystal.

Density of states at the Fermi level: 3.1 states/eV/f.u.
Total magnetic moment: 0.00 μB/f.u.
E_form: 1.156 eV/atom
Space group: P4/mmm
Crystal system: tetragonal

Lattice parameters (Å, degrees): 5.2919 4.2032 5.2919 90.00 90.00 90.00
Sites, in units of the cell vectors:
Be (0.5000, 0.5000, 0.5000)
B (0.0000, 0.5000, 0.0000)
Sn (0.0000, 0.0000, 0.5000)
Sn (0.5000, 0.0000, 0.0000)
Ti (0.0000, 0.0000, 0.0000)

No. 8
## CuWSe2 (PBE-GGA)

Data for a relaxed CuWSe2 crystal.

Density of states at the Fermi level: 2.4 states/eV/f.u.
Total magnetic moment: 0.00 μB/f.u.
Space group: R-3m
Polymorph energy (0 for the lowest one): 187 meV/atom
Crystal system: trigonal

Lattice parameters (Å, degrees): 8.3090 8.3090 8.3090 23.10 23.10 23.10
Sites, in units of the cell vectors:
Cu (0.0000, 0.0000, 0.0000)
Se (0.9037, 0.9037, 0.9037)
Se (0.0963, 0.0963, 0.0963)
W (0.5000, 0.5000, 0.5000)